Run one
! Tl3ReSe | Alexandria | PBE | relaxed; values from VASP
! **Magnetization**: 4.17 μB per cell
! **Fermi-level density of states**: 0.965 states/eV per atom
! **Symmetry**: No. 221
&SYSTEM
  ibrav = 0, nat = 5, ntyp = 3
/
ATOMIC_SPECIES
Tl 204.38 Tl.upf
Re 186.21 Re.upf
Se 78.96 Se.upf
ATOMIC_POSITIONS crystal
Tl 0.000 0.000 0.500
Tl 0.000 0.500 0.000
Tl 0.500 0.000 0.000
Re 0.500 0.500 0.500
Se 0.000 0.000 0.000
CELL_PARAMETERS angstrom
5.754 0.000 0.000
0.000 5.754 0.000
0.000 0.000 5.754



Run two
! Tl3ReSe | Alexandria | PBE | relaxed; values from VASP
! **Magnetization**: 2.26 μB per cell
! **Fermi-level density of states**: 1.094 states/eV per atom
! **Symmetry**: No. 221
&SYSTEM
  ibrav = 0, nat = 5, ntyp = 3
/
ATOMIC_SPECIES
Tl 204.38 Tl.upf
Re 186.21 Re.upf
Se 78.96 Se.upf
ATOMIC_POSITIONS crystal
Tl 0.000 0.000 0.500
Tl 0.000 0.500 0.000
Tl 0.500 0.000 0.000
Re 0.000 0.000 0.000
Se 0.500 0.500 0.500
CELL_PARAMETERS angstrom
5.374 0.000 0.000
0.000 5.374 0.000
0.000 0.000 5.374



Which structure loses on stability? run one does.



Run one
! V2Re2Se | Alexandria | PBE | relaxed; values from VASP
! **Magnetization**: 0.00 μB per cell
! **Fermi-level density of states**: 1.018 states/eV per atom
! **Symmetry**: No. 139
&SYSTEM
  ibrav = 0, nat = 5, ntyp = 3
/
ATOMIC_SPECIES
V 50.94 V.upf
Re 186.21 Re.upf
Se 78.96 Se.upf
ATOMIC_POSITIONS crystal
V 0.119 0.119 0.000
V 0.881 0.881 0.000
Re 0.250 0.750 0.500
Re 0.750 0.250 0.500
Se 0.500 0.500 0.000
CELL_PARAMETERS angstrom
-1.891 1.891 6.247
1.891 -1.891 6.247
1.891 1.891 -6.247



Run two
! V2Re2Se | Alexandria | PBE | relaxed; values from VASP
! **Magnetization**: 0.00 μB per cell
! **Fermi-level density of states**: 1.197 states/eV per atom
! **Symmetry**: No. 127
&SYSTEM
  ibrav = 0, nat = 10, ntyp = 3
/
ATOMIC_SPECIES
V 50.94 V.upf
Re 186.21 Re.upf
Se 78.96 Se.upf
ATOMIC_POSITIONS crystal
V 0.152 0.348 0.000
V 0.348 0.848 0.000
V 0.652 0.152 0.000
V 0.848 0.652 0.000
Re 0.138 0.638 0.500
Re 0.362 0.138 0.500
Re 0.638 0.862 0.500
Re 0.862 0.362 0.500
Se 0.000 0.000 0.000
Se 0.500 0.500 0.000
CELL_PARAMETERS angstrom
7.509 0.000 0.000
0.000 7.509 0.000
0.000 0.000 2.820



Which structure loses on stability? run one does.



Run one
! VReSe2 | Alexandria | PBE | relaxed; values from VASP
! **Magnetization**: 0.00 μB per cell
! **Fermi-level density of states**: 0.874 states/eV per atom
! **Symmetry**: No. 225
&SYSTEM
  ibrav = 0, nat = 4, ntyp = 3
/
ATOMIC_SPECIES
V 50.94 V.upf
Re 186.21 Re.upf
Se 78.96 Se.upf
ATOMIC_POSITIONS crystal
V 0.000 0.000 0.000
Re 0.500 0.500 0.500
Se 0.250 0.250 0.250
Se 0.750 0.750 0.750
CELL_PARAMETERS angstrom
0.000 3.105 3.105
3.105 0.000 3.105
3.105 3.105 0.000



Run two
! VReSe2 | Alexandria | PBE | relaxed; values from VASP
! **Magnetization**: 1.88 μB per cell
! **Fermi-level density of states**: 0.708 states/eV per atom
! **Symmetry**: No. 122
&SYSTEM
  ibrav = 0, nat = 8, ntyp = 3
/
ATOMIC_SPECIES
V 50.94 V.upf
Re 186.21 Re.upf
Se 78.96 Se.upf
ATOMIC_POSITIONS crystal
V 0.000 0.000 0.000
V 0.750 0.250 0.500
Re 0.250 0.750 0.500
Re 0.500 0.500 0.000
Se 0.123 0.625 0.998
Se 0.375 0.373 0.498
Se 0.627 0.125 0.002
Se 0.875 0.877 0.502
CELL_PARAMETERS angstrom
-2.345 2.345 7.091
2.345 -2.345 7.091
2.345 2.345 -7.091



Which structure loses on stability? run two does.



Run one
! ReWSe3 | Alexandria | PBE | relaxed; values from VASP
! **Magnetization**: 5.40 μB per cell
! **Fermi-level density of states**: 0.631 states/eV per atom
! **Symmetry**: No. 221
&SYSTEM
  ibrav = 0, nat = 5, ntyp = 3
/
ATOMIC_SPECIES
Re 186.21 Re.upf
W 183.84 W.upf
Se 78.96 Se.upf
ATOMIC_POSITIONS crystal
Re 0.000 0.000 0.000
W 0.500 0.500 0.500
Se 0.000 0.500 0.500
Se 0.500 0.000 0.500
Se 0.500 0.500 0.000
CELL_PARAMETERS angstrom
4.948 0.000 0.000
0.000 4.948 0.000
0.000 0.000 4.948



Run two
! ReWSe3 | Alexandria | PBE | relaxed; values from VASP
! **Magnetization**: 0.00 μB per cell
! **Fermi-level density of states**: 0.586 states/eV per atom
! **Symmetry**: No. 15
&SYSTEM
  ibrav = 0, nat = 20, ntyp = 3
/
ATOMIC_SPECIES
Re 186.21 Re.upf
W 183.84 W.upf
Se 78.96 Se.upf
ATOMIC_POSITIONS crystal
Re 0.089 0.284 0.291
Re 0.284 0.089 0.791
Re 0.716 0.911 0.209
Re 0.911 0.716 0.709
W 0.213 0.787 0.750
W 0.392 0.608 0.250
W 0.608 0.392 0.750
W 0.787 0.213 0.250
Se 0.075 0.842 0.470
Se 0.158 0.925 0.030
Se 0.225 0.593 0.473
Se 0.268 0.317 0.056
Se 0.317 0.268 0.556
Se 0.407 0.775 0.027
Se 0.593 0.225 0.973
Se 0.683 0.732 0.444
Se 0.732 0.683 0.944
Se 0.775 0.407 0.527
Se 0.842 0.075 0.970
Se 0.925 0.158 0.530
CELL_PARAMETERS angstrom
4.535 -8.656 0.000
4.535 8.656 0.000
-2.442 0.000 6.586



Which structure loses on stability? run one does.



Run one
! YReSe | Alexandria | PBE | relaxed; values from VASP
! **Magnetization**: 0.00 μB per cell
! **Fermi-level density of states**: 1.119 states/eV per atom
! **Symmetry**: No. 187
&SYSTEM
  ibrav = 0, nat = 3, ntyp = 3
/
ATOMIC_SPECIES
Y 88.91 Y.upf
Re 186.21 Re.upf
Se 78.96 Se.upf
ATOMIC_POSITIONS crystal
Y 0.000 0.000 0.000
Re 0.667 0.333 0.500
Se 0.333 0.667 0.500
CELL_PARAMETERS angstrom
4.384 0.000 0.000
-2.192 3.796 0.000
0.000 0.000 3.592



Run two
! YReSe | Alexandria | PBE | relaxed; values from VASP
! **Magnetization**: 0.00 μB per cell
! **Fermi-level density of states**: 0.170 states/eV per atom
! **Symmetry**: No. 107
&SYSTEM
  ibrav = 0, nat = 3, ntyp = 3
/
ATOMIC_SPECIES
Y 88.91 Y.upf
Re 186.21 Re.upf
Se 78.96 Se.upf
ATOMIC_POSITIONS crystal
Y 0.000 0.000 0.000
Re 0.683 0.683 0.000
Se 0.294 0.294 0.000
CELL_PARAMETERS angstrom
-1.620 1.620 5.583
1.620 -1.620 5.583
1.620 1.620 -5.583



Run three
! YReSe | Alexandria | PBE | relaxed; values from VASP
! **Magnetization**: 1.75 μB per cell
! **Fermi-level density of states**: 0.734 states/eV per atom
! **Symmetry**: No. 216
&SYSTEM
  ibrav = 0, nat = 3, ntyp = 3
/
ATOMIC_SPECIES
Y 88.91 Y.upf
Re 186.21 Re.upf
Se 78.96 Se.upf
ATOMIC_POSITIONS crystal
Y 0.000 0.000 0.000
Re 0.500 0.500 0.500
Se 0.750 0.750 0.750
CELL_PARAMETERS angstrom
0.000 3.191 3.191
3.191 0.000 3.191
3.191 3.191 0.000



Which structure loses on stability? run three does.



Run one
! YReSe2 | Alexandria | PBE | relaxed; values from VASP
! **Magnetization**: 0.00 μB per cell
! **Fermi-level density of states**: 0.391 states/eV per atom
! **Symmetry**: No. 10
&SYSTEM
  ibrav = 0, nat = 4, ntyp = 3
/
ATOMIC_SPECIES
Y 88.91 Y.upf
Re 186.21 Re.upf
Se 78.96 Se.upf
ATOMIC_POSITIONS crystal
Y 0.000 0.000 0.000
Re 0.500 0.000 0.500
Se 0.350 0.500 0.732
Se 0.650 0.500 0.268
CELL_PARAMETERS angstrom
3.619 0.000 0.000
0.000 4.061 0.000
-0.392 0.000 5.622



Run two
! YReSe2 | Alexandria | PBE | relaxed; values from VASP
! **Magnetization**: 0.00 μB per cell
! **Fermi-level density of states**: 0.788 states/eV per atom
! **Symmetry**: No. 71
&SYSTEM
  ibrav = 0, nat = 4, ntyp = 3
/
ATOMIC_SPECIES
Y 88.91 Y.upf
Re 186.21 Re.upf
Se 78.96 Se.upf
ATOMIC_POSITIONS crystal
Y 0.000 0.000 0.000
Re 0.500 0.500 0.000
Se 0.295 0.795 0.500
Se 0.705 0.205 0.500
CELL_PARAMETERS angstrom
-2.017 2.700 3.676
2.017 -2.700 3.676
2.017 2.700 -3.676



Run three
! YReSe2 | Alexandria | PBE | relaxed; values from VASP
! **Magnetization**: 0.00 μB per cell
! **Fermi-level density of states**: 0.629 states/eV per atom
! **Symmetry**: No. 44
&SYSTEM
  ibrav = 0, nat = 4, ntyp = 3
/
ATOMIC_SPECIES
Y 88.91 Y.upf
Re 186.21 Re.upf
Se 78.96 Se.upf
ATOMIC_POSITIONS crystal
Y 0.000 0.000 0.000
Re 0.235 0.735 0.500
Se 0.400 0.400 0.000
Se 0.676 0.176 0.500
CELL_PARAMETERS angstrom
-1.687 1.987 5.930
1.687 -1.987 5.930
1.687 1.987 -5.930



Which structure loses on stability? run one does.



Run one
! YReSe2 | Alexandria | PBE | relaxed; values from VASP
! **Magnetization**: 0.00 μB per cell
! **Fermi-level density of states**: 0.069 states/eV per atom
! **Symmetry**: No. 166
&SYSTEM
  ibrav = 0, nat = 4, ntyp = 3
/
ATOMIC_SPECIES
Y 88.91 Y.upf
Re 186.21 Re.upf
Se 78.96 Se.upf
ATOMIC_POSITIONS crystal
Y 0.000 0.000 0.000
Re 0.500 0.500 0.500
Se 0.232 0.232 0.232
Se 0.768 0.768 0.768
CELL_PARAMETERS angstrom
2.063 1.191 5.342
-2.063 1.191 5.342
0.000 -2.383 5.342



Run two
! YReSe2 | Alexandria | PBE | relaxed; values from VASP
! **Magnetization**: 0.00 μB per cell
! **Fermi-level density of states**: 0.932 states/eV per atom
! **Symmetry**: No. 99
&SYSTEM
  ibrav = 0, nat = 4, ntyp = 3
/
ATOMIC_SPECIES
Y 88.91 Y.upf
Re 186.21 Re.upf
Se 78.96 Se.upf
ATOMIC_POSITIONS crystal
Y 0.000 0.000 0.000
Re 0.500 0.500 0.341
Se 0.000 0.000 0.467
Se 0.500 0.500 0.799
CELL_PARAMETERS angstrom
3.590 0.000 0.000
0.000 3.590 0.000
0.000 0.000 6.178



Run three
! YReSe2 | Alexandria | PBE | relaxed; values from VASP
! **Magnetization**: 0.00 μB per cell
! **Fermi-level density of states**: 0.961 states/eV per atom
! **Symmetry**: No. 10
&SYSTEM
  ibrav = 0, nat = 4, ntyp = 3
/
ATOMIC_SPECIES
Y 88.91 Y.upf
Re 186.21 Re.upf
Se 78.96 Se.upf
ATOMIC_POSITIONS crystal
Y 0.000 0.000 0.000
Re 0.500 0.500 0.500
Se 0.000 0.000 0.500
Se 0.500 0.500 0.000
CELL_PARAMETERS angstrom
4.277 0.000 0.000
0.000 3.526 0.000
-1.689 0.000 5.320



Run four
! YReSe2 | Alexandria | PBE | relaxed; values from VASP
! **Magnetization**: 0.00 μB per cell
! **Fermi-level density of states**: 1.331 states/eV per atom
! **Symmetry**: No. 225
&SYSTEM
  ibrav = 0, nat = 4, ntyp = 3
/
ATOMIC_SPECIES
Y 88.91 Y.upf
Re 186.21 Re.upf
Se 78.96 Se.upf
ATOMIC_POSITIONS crystal
Y 0.000 0.000 0.000
Re 0.500 0.500 0.500
Se 0.250 0.250 0.250
Se 0.750 0.750 0.750
CELL_PARAMETERS angstrom
0.000 3.347 3.347
3.347 0.000 3.347
3.347 3.347 0.000



Which structure loses on stability? run three does.



Run one
! YReSe2 | Alexandria | PBE | relaxed; values from VASP
! **Magnetization**: 0.00 μB per cell
! **Fermi-level density of states**: 0.338 states/eV per atom
! **Symmetry**: No. 216
&SYSTEM
  ibrav = 0, nat = 4, ntyp = 3
/
ATOMIC_SPECIES
Y 88.91 Y.upf
Re 186.21 Re.upf
Se 78.96 Se.upf
ATOMIC_POSITIONS crystal
Y 0.000 0.000 0.000
Re 0.750 0.750 0.750
Se 0.250 0.250 0.250
Se 0.500 0.500 0.500
CELL_PARAMETERS angstrom
0.000 3.414 3.414
3.414 0.000 3.414
3.414 3.414 0.000



Run two
! YReSe2 | Alexandria | PBE | relaxed; values from VASP
! **Magnetization**: 0.00 μB per cell
! **Fermi-level density of states**: 0.516 states/eV per atom
! **Symmetry**: No. 6
&SYSTEM
  ibrav = 0, nat = 4, ntyp = 3
/
ATOMIC_SPECIES
Y 88.91 Y.upf
Re 186.21 Re.upf
Se 78.96 Se.upf
ATOMIC_POSITIONS crystal
Y 0.000 0.000 0.000
Re 0.650 0.500 0.304
Se 0.423 0.500 0.844
Se 0.722 0.000 0.447
CELL_PARAMETERS angstrom
3.550 0.000 0.000
0.000 4.489 0.000
-1.761 0.000 5.407



Run three
! YReSe2 | Alexandria | PBE | relaxed; values from VASP
! **Magnetization**: 0.21 μB per cell
! **Fermi-level density of states**: 0.778 states/eV per atom
! **Symmetry**: No. 160
&SYSTEM
  ibrav = 0, nat = 4, ntyp = 3
/
ATOMIC_SPECIES
Y 88.91 Y.upf
Re 186.21 Re.upf
Se 78.96 Se.upf
ATOMIC_POSITIONS crystal
Y 0.000 0.000 0.000
Re 0.766 0.766 0.766
Se 0.265 0.265 0.265
Se 0.477 0.477 0.477
CELL_PARAMETERS angstrom
1.884 1.088 8.118
-1.884 1.088 8.118
0.000 -2.175 8.118



Which structure loses on stability? run one does.



Run one
! YReSe2 | Alexandria | PBE | relaxed; values from VASP
! **Magnetization**: 0.00 μB per cell
! **Fermi-level density of states**: 0.712 states/eV per atom
! **Symmetry**: No. 166
&SYSTEM
  ibrav = 0, nat = 4, ntyp = 3
/
ATOMIC_SPECIES
Y 88.91 Y.upf
Re 186.21 Re.upf
Se 78.96 Se.upf
ATOMIC_POSITIONS crystal
Y 0.000 0.000 0.000
Re 0.500 0.500 0.500
Se 0.104 0.104 0.104
Se 0.896 0.896 0.896
CELL_PARAMETERS angstrom
1.661 0.959 9.171
-1.661 0.959 9.171
0.000 -1.918 9.171



Run two
! YReSe2 | Alexandria | PBE | relaxed; values from VASP
! **Magnetization**: 0.25 μB per cell
! **Fermi-level density of states**: 0.908 states/eV per atom
! **Symmetry**: No. 123
&SYSTEM
  ibrav = 0, nat = 4, ntyp = 3
/
ATOMIC_SPECIES
Y 88.91 Y.upf
Re 186.21 Re.upf
Se 78.96 Se.upf
ATOMIC_POSITIONS crystal
Y 0.000 0.000 0.000
Re 0.500 0.500 0.000
Se 0.000 0.500 0.500
Se 0.500 0.000 0.500
CELL_PARAMETERS angstrom
4.695 0.000 0.000
0.000 4.695 0.000
0.000 0.000 3.344



Which structure loses on stability? run one does.



Run one
! YReSe2 | Alexandria | PBE | relaxed; values from VASP
! **Magnetization**: 0.00 μB per cell
! **Fermi-level density of states**: 0.537 states/eV per atom
! **Symmetry**: No. 8
&SYSTEM
  ibrav = 0, nat = 4, ntyp = 3
/
ATOMIC_SPECIES
Y 88.91 Y.upf
Re 186.21 Re.upf
Se 78.96 Se.upf
ATOMIC_POSITIONS crystal
Y 0.000 0.000 0.000
Re 0.251 0.251 0.596
Se 0.530 0.530 0.553
Se 0.753 0.753 0.225
CELL_PARAMETERS angstrom
4.590 -1.699 0.000
4.590 1.699 0.000
-1.388 0.000 5.133



Run two
! YReSe2 | Alexandria | PBE | relaxed; values from VASP
! **Magnetization**: 0.00 μB per cell
! **Fermi-level density of states**: 0.965 states/eV per atom
! **Symmetry**: No. 122
&SYSTEM
  ibrav = 0, nat = 8, ntyp = 3
/
ATOMIC_SPECIES
Y 88.91 Y.upf
Re 186.21 Re.upf
Se 78.96 Se.upf
ATOMIC_POSITIONS crystal
Y 0.000 0.000 0.000
Y 0.750 0.250 0.500
Re 0.250 0.750 0.500
Re 0.500 0.500 0.000
Se 0.186 0.625 0.061
Se 0.375 0.436 0.561
Se 0.564 0.125 0.939
Se 0.875 0.814 0.439
CELL_PARAMETERS angstrom
-2.635 2.635 7.188
2.635 -2.635 7.188
2.635 2.635 -7.188



Run three
! YReSe2 | Alexandria | PBE | relaxed; values from VASP
! **Magnetization**: 0.00 μB per cell
! **Fermi-level density of states**: 0.885 states/eV per atom
! **Symmetry**: No. 65
&SYSTEM
  ibrav = 0, nat = 4, ntyp = 3
/
ATOMIC_SPECIES
Y 88.91 Y.upf
Re 186.21 Re.upf
Se 78.96 Se.upf
ATOMIC_POSITIONS crystal
Y 0.000 0.000 0.000
Re 0.000 0.000 0.500
Se 0.500 0.500 0.276
Se 0.500 0.500 0.724
CELL_PARAMETERS angstrom
2.100 -2.639 0.000
2.100 2.639 0.000
0.000 0.000 6.871



Which structure loses on stability? run three does.



Run one
! YReSe3 | Alexandria | PBE | relaxed; values from VASP
! **Magnetization**: 4.16 μB per cell
! **Fermi-level density of states**: 1.201 states/eV per atom
! **Symmetry**: No. 221
&SYSTEM
  ibrav = 0, nat = 5, ntyp = 3
/
ATOMIC_SPECIES
Y 88.91 Y.upf
Re 186.21 Re.upf
Se 78.96 Se.upf
ATOMIC_POSITIONS crystal
Y 0.000 0.000 0.000
Re 0.500 0.500 0.500
Se 0.000 0.000 0.500
Se 0.000 0.500 0.000
Se 0.500 0.000 0.000
CELL_PARAMETERS angstrom
5.420 0.000 0.000
0.000 5.420 0.000
0.000 0.000 5.420



Run two
! YReSe3 | Alexandria | PBE | relaxed; values from VASP
! **Magnetization**: 2.16 μB per cell
! **Fermi-level density of states**: 0.588 states/eV per atom
! **Symmetry**: No. 221
&SYSTEM
  ibrav = 0, nat = 5, ntyp = 3
/
ATOMIC_SPECIES
Y 88.91 Y.upf
Re 186.21 Re.upf
Se 78.96 Se.upf
ATOMIC_POSITIONS crystal
Y 0.000 0.000 0.000
Re 0.500 0.500 0.500
Se 0.000 0.500 0.500
Se 0.500 0.000 0.500
Se 0.500 0.500 0.000
CELL_PARAMETERS angstrom
4.939 0.000 0.000
0.000 4.939 0.000
0.000 0.000 4.939



Which structure loses on stability? run one does.